1.
DFT (GGA-PBE) results for crystalline RbCuI2 at its relaxed geometry.

Output
* total magnetization: 0.000 μB/atom
* relative energy among the computed polymorphs: 0 meV per atom
* formation energy from raw total energies: -0.789 eV per atom
* calculated total energy: -45.274 eV per cell
* N(E_F): 0.000 states/eV per atom
* V: 43.186 Å³/atom

Lattice parameters (Å, degrees): 10.2545 10.2545 9.1620 90.00 90.00 134.18
Sites, in units of the cell vectors:
Rb 0.1300 0.8700 0.9501
Rb 0.3700 0.6300 0.4501
Rb 0.6300 0.3700 0.5499
Rb 0.8700 0.1300 0.0499
Cu 0.0869 0.9131 0.3737
Cu 0.4131 0.5869 0.8737
Cu 0.5869 0.4131 0.1263
Cu 0.9131 0.0869 0.6263
I 0.1816 0.8184 0.5619
I 0.2250 0.2750 0.7500
I 0.2750 0.2250 0.2500
I 0.3184 0.6816 0.0619
I 0.6816 0.3184 0.9381
I 0.7250 0.7750 0.7500
I 0.7750 0.7250 0.2500
I 0.8184 0.1816 0.4381



2.
DFT (GGA-PBE) results for crystalline RbCuI4 at its relaxed geometry.

Output
* total magnetization: 0.000 μB/atom
* relative energy among the computed polymorphs: 0 meV per atom
* formation energy from raw total energies: -0.502 eV per atom
* calculated total energy: -28.551 eV per cell
* N(E_F): 0.224 states/eV per atom
* V: 44.044 Å³/atom

Lattice parameters (Å, degrees): 8.3189 8.3189 9.9922 119.02 119.02 77.81
Sites, in units of the cell vectors:
Rb 0.1253 0.8747 0.7500
Rb 0.8747 0.1253 0.2500
Cu 0.3755 0.6245 0.2500
Cu 0.6245 0.3755 0.7500
I 0.0722 0.6952 0.2833
I 0.2888 0.4125 0.7152
I 0.3048 0.9278 0.2167
I 0.4125 0.2888 0.2152
I 0.5875 0.7112 0.7848
I 0.6952 0.0722 0.7833
I 0.7112 0.5875 0.2848
I 0.9278 0.3048 0.7167